First-principles (PBE+U) data for an optimized crystal structure of FeB2IrF, as listed in the Alexandria database.

Output
symmetry: P4/mmm
raw total energy: -5.40 eV/atom

abc: 3.9876 3.9876 4.6115
angles: 90.00 90.00 90.00
Fractional coordinates of all 5 atoms:
1 Fe 0.0000 0.0000 0.0000
2 B 0.0000 0.5000 0.5000
3 B 0.5000 0.0000 0.5000
4 Ir 0.5000 0.5000 0.5000
5 F 0.5000 0.5000 0.0000